Record 1
## CsK2U3Te8 (PBE-GGA)

Data for a relaxed CsK2U3Te8 crystal.

a b c (Å): 9.178 9.178 10.305
angles (deg): 63.55 63.55 60.00
Last column: magnetic moment on the atom in μB.
Sites, in units of the cell vectors:
Te  0.754  0.308  0.184  -0.10
Te  0.754  0.754  0.184  -0.10
Te  0.726  0.726  0.823  -0.08
Te  0.269  0.269  0.192  -0.07
Te  0.243  0.243  0.813  -0.09
Te  0.701  0.243  0.813  -0.09
Te  0.243  0.701  0.813  -0.09
Te  0.308  0.754  0.184  -0.10
K  0.499  0.499  0.502  0.00
K  0.134  0.134  0.598  0.00
U  0.499  0.499  0.000  1.99
U  0.002  0.499  0.000  1.99
U  0.499  0.002  0.000  1.99
Cs  0.861  0.861  0.418  -0.01

Values from the calculation:
theoretical density	5.0	g/cm³
E_tot	-5.18	eV per atom
uncorrected formation energy	-752.4	meV per atom



Record 2
## MgZrIn2Ge (PBE-GGA)

Data for a relaxed MgZrIn2Ge crystal.

a b c (Å): 5.600 5.600 5.200
angles (deg): 90.00 90.00 90.00
Sites, in units of the cell vectors:
In  0.500  0.000  0.000
In  0.000  0.500  0.000
Zr  0.000  0.000  0.000
Ge  0.000  0.000  0.500
Mg  0.500  0.500  0.500

Values from the calculation:
ΔH_f (0 K)	0.49	eV per atom
theoretical density	4.3	g/cm³
E_tot	-3.56	eV per atom



Record 3
## Al2CrIn2 (PBE-GGA)

Data for a relaxed Al2CrIn2 crystal.

a b c (Å): 6.798 6.798 4.122
angles (deg): 90.00 90.00 90.00
Sites, in units of the cell vectors:
Al  0.150  0.350  0.000
Al  0.350  0.850  0.000
Al  0.850  0.650  0.000
Al  0.650  0.150  0.000
In  0.336  0.164  0.500
In  0.164  0.664  0.500
In  0.836  0.336  0.500
In  0.664  0.836  0.500
Cr  0.000  0.000  0.000
Cr  0.500  0.500  0.000

Values from the calculation:
ΔH_f (0 K)	0.47	eV per atom
relative energy among the computed polymorphs	0	meV per atom
theoretical density	5.9	g/cm³
E_tot	-4.05	eV per atom